w.
Na5ZnSb2 | Alexandria | PBE | relaxed; space-group type = P6_3/mmc (194); size of the total moment = 0.0 μB/f.u.; V = 476 Å³ per cell
1.0
5.372 0.000 0.000
-2.686 4.653 0.000
0.000 0.000 19.023
Na Zn Sb
10 2 4
Direct
0.000 0.000 0.147
0.000 0.000 0.353
0.000 0.000 0.647
0.000 0.000 0.853
0.333 0.667 0.054
0.333 0.667 0.250
0.333 0.667 0.446
0.667 0.333 0.554
0.667 0.333 0.750
0.667 0.333 0.946
0.333 0.667 0.750
0.667 0.333 0.250
0.333 0.667 0.615
0.333 0.667 0.885
0.667 0.333 0.115
0.667 0.333 0.385


x.
Na5ZnSb2 | Alexandria | PBE | relaxed; space-group type = R-3m (166); size of the total moment = 0.0 μB/f.u.; V = 224 Å³ per cell
1.0
2.677 1.545 9.023
-2.677 1.545 9.023
0.000 -3.091 9.023
Na Zn Sb
5 1 2
Direct
0.000 0.000 0.000
0.126 0.126 0.126
0.277 0.277 0.277
0.723 0.723 0.723
0.874 0.874 0.874
0.500 0.500 0.500
0.404 0.404 0.404
0.596 0.596 0.596


Of them, x has the highest stability.


w.
Na5Zn2Sb5 | Alexandria | PBE | relaxed; space-group type = C2/m (12); size of the total moment = 0.0 μB/f.u.; V = 339 Å³ per cell
1.0
5.578 -2.575 0.000
5.578 2.575 0.000
-1.744 0.000 11.789
Na Zn Sb
5 2 5
Direct
0.000 0.000 0.000
0.151 0.151 0.554
0.258 0.258 0.885
0.742 0.742 0.115
0.849 0.849 0.446
0.406 0.406 0.698
0.594 0.594 0.302
0.242 0.242 0.301
0.410 0.410 0.132
0.500 0.500 0.500
0.590 0.590 0.868
0.758 0.758 0.699


x.
Na5Zn2Sb5 | Alexandria | PBE | relaxed; space-group type = C2/m (12); size of the total moment = 0.0 μB/f.u.; V = 333 Å³ per cell
1.0
8.039 -2.229 0.000
8.039 2.229 0.000
-7.591 0.000 9.290
Na Zn Sb
5 2 5
Direct
0.000 0.000 0.000
0.112 0.112 0.431
0.217 0.217 0.855
0.783 0.783 0.145
0.888 0.888 0.569
0.358 0.358 0.730
0.642 0.642 0.270
0.248 0.248 0.307
0.448 0.448 0.190
0.500 0.500 0.500
0.552 0.552 0.810
0.752 0.752 0.693


Of them, x has the highest stability.


w.
Na3ZrSb | Alexandria | PBE | relaxed; space-group type = Pm-3m (221); size of the total moment = 2.8 μB/f.u.; V = 193 Å³ per cell
1.0
5.779 0.000 0.000
0.000 5.779 0.000
0.000 0.000 5.779
Na Zr Sb
3 1 1
Direct
0.000 0.000 0.500
0.000 0.500 0.000
0.500 0.000 0.000
0.500 0.500 0.500
0.000 0.000 0.000


x.
Na3ZrSb | Alexandria | PBE | relaxed; space-group type = Pm-3m (221); size of the total moment = 3.0 μB/f.u.; V = 199 Å³ per cell
1.0
5.841 0.000 0.000
0.000 5.841 0.000
0.000 0.000 5.841
Na Zr Sb
3 1 1
Direct
0.000 0.000 0.500
0.000 0.500 0.000
0.500 0.000 0.000
0.000 0.000 0.000
0.500 0.500 0.500


Of them, w has the highest stability.


w.
NaSc | Alexandria | PBE | relaxed; space-group type = I4_1/amd (141); size of the total moment = 0.0 μB/f.u.; V = 445 Å³ per cell
1.0
7.394 0.000 0.000
0.000 7.394 0.000
0.000 0.000 8.146
Na Sc
8 8
Direct
0.000 0.000 0.000
0.000 0.500 0.000
0.250 0.250 0.750
0.250 0.750 0.250
0.500 0.000 0.500
0.500 0.500 0.500
0.750 0.250 0.750
0.750 0.750 0.250
0.000 0.000 0.500
0.000 0.500 0.500
0.250 0.250 0.250
0.250 0.750 0.750
0.500 0.000 0.000
0.500 0.500 0.000
0.750 0.250 0.250
0.750 0.750 0.750


x.
NaSc | Alexandria | PBE | relaxed; space-group type = Pm-3n (223); size of the total moment = 1.5 μB/f.u.; V = 704 Å³ per cell
1.0
8.894 0.000 0.000
0.000 8.894 0.000
0.000 0.000 8.894
Na Sc
6 6
Direct
0.000 0.250 0.500
0.000 0.750 0.500
0.250 0.500 0.000
0.500 0.000 0.250
0.500 0.000 0.750
0.750 0.500 0.000
0.000 0.500 0.250
0.000 0.500 0.750
0.250 0.000 0.500
0.500 0.250 0.000
0.500 0.750 0.000
0.750 0.000 0.500


y.
NaSc | Alexandria | PBE | relaxed; space-group type = F-43m (216); size of the total moment = 1.3 μB/f.u.; V = 332 Å³ per cell
1.0
6.927 0.000 0.000
0.000 6.927 0.000
0.000 0.000 6.927
Na Sc
4 4
Direct
0.000 0.000 0.000
0.000 0.500 0.500
0.500 0.000 0.500
0.500 0.500 0.000
0.250 0.250 0.750
0.250 0.750 0.250
0.750 0.250 0.250
0.750 0.750 0.750


z.
NaSc | Alexandria | PBE | relaxed; space-group type = P6_3/m (176); size of the total moment = 0.5 μB/f.u.; V = 351 Å³ per cell
1.0
11.382 0.000 0.000
-5.691 9.857 0.000
0.000 0.000 3.126
Na Sc
6 6
Direct
0.062 0.287 0.250
0.225 0.938 0.250
0.287 0.225 0.750
0.713 0.775 0.250
0.775 0.062 0.750
0.938 0.713 0.750
0.146 0.599 0.250
0.401 0.546 0.250
0.454 0.854 0.250
0.546 0.146 0.750
0.599 0.454 0.750
0.854 0.401 0.750


Of them, z has the highest stability.


w.
NaSc | Alexandria | PBE | relaxed; space-group type = Pmmn (59); size of the total moment = 0.3 μB/f.u.; V = 113 Å³ per cell
1.0
3.309 0.000 0.000
0.000 5.393 0.000
0.000 0.000 6.309
Na Sc
2 2
Direct
0.250 0.250 0.078
0.750 0.750 0.922
0.250 0.750 0.443
0.750 0.250 0.557


x.
NaSc | Alexandria | PBE | relaxed; space-group type = I-43m (217); size of the total moment = 0.0 μB/f.u.; V = 1082 Å³ per cell
1.0
10.267 0.000 0.000
0.000 10.267 0.000
0.000 0.000 10.267
Na Sc
8 8
Direct
0.204 0.204 0.204
0.204 0.796 0.796
0.296 0.296 0.704
0.296 0.704 0.296
0.704 0.296 0.296
0.704 0.704 0.704
0.796 0.204 0.796
0.796 0.796 0.204
0.101 0.101 0.899
0.101 0.899 0.101
0.399 0.399 0.399
0.399 0.601 0.601
0.601 0.399 0.601
0.601 0.601 0.399
0.899 0.101 0.101
0.899 0.899 0.899


y.
NaSc | Alexandria | PBE | relaxed; space-group type = P4_2/mnm (136); size of the total moment = 0.8 μB/f.u.; V = 234 Å³ per cell
1.0
6.144 0.000 0.000
0.000 6.144 0.000
0.000 0.000 6.199
Na Sc
4 4
Direct
0.177 0.177 0.000
0.323 0.677 0.500
0.677 0.323 0.500
0.823 0.823 0.000
0.178 0.178 0.500
0.322 0.678 0.000
0.678 0.322 0.000
0.822 0.822 0.500


z.
NaSc | Alexandria | PBE | relaxed; space-group type = Fddd (70); size of the total moment = 0.0 μB/f.u.; V = 227 Å³ per cell
1.0
0.000 4.687 5.764
4.204 0.000 5.764
4.204 4.687 0.000
Na Sc
4 4
Direct
0.038 0.712 0.712
0.288 0.962 0.962
0.712 0.038 0.038
0.962 0.288 0.288
0.211 0.539 0.211
0.461 0.789 0.461
0.539 0.211 0.539
0.789 0.461 0.789


Of them, w has the highest stability.


w.
NaSc2Se2 | Alexandria | PBE | relaxed; space-group type = I4/mmm (139); size of the total moment = 0.0 μB/f.u.; V = 267 Å³ per cell
1.0
4.564 0.000 0.000
0.000 4.564 0.000
0.000 0.000 12.843
Na Sc Se
2 4 4
Direct
0.000 0.000 0.000
0.500 0.500 0.500
0.000 0.500 0.250
0.000 0.500 0.750
0.500 0.000 0.250
0.500 0.000 0.750
0.000 0.000 0.358
0.000 0.000 0.642
0.500 0.500 0.142
0.500 0.500 0.858


x.
NaSc2Se2 | Alexandria | PBE | relaxed; space-group type = P4/mbm (127); size of the total moment = 0.0 μB/f.u.; V = 206 Å³ per cell
1.0
7.563 0.000 0.000
0.000 7.563 0.000
0.000 0.000 3.596
Na Sc Se
2 4 4
Direct
0.000 0.000 0.000
0.500 0.500 0.000
0.147 0.353 0.500
0.353 0.853 0.500
0.647 0.147 0.500
0.853 0.647 0.500
0.149 0.649 0.000
0.351 0.149 0.000
0.649 0.851 0.000
0.851 0.351 0.000


Of them, x has the highest stability.